No. 1
# TcRuAu2, optimized geometry, DFT PBE-GGA
data_TcRuAu2
_space_group_name_H-M_alt 'I -4 m 2'
_space_group_IT_number 119
_space_group_name_Hall 'I -4 -2'
_cell_length_a 3.9704
_cell_length_b 3.9704
_cell_length_c 8.0364
_cell_angle_alpha 90.00
_cell_angle_beta 90.00
_cell_angle_gamma 90.00
loop_
_atom_site_label
_atom_site_type_symbol
_atom_site_fract_x
_atom_site_fract_y
_atom_site_fract_z
Tc1 Tc 0.0000 0.0000 0.0000
Ru1 Ru 0.0000 0.5000 0.2500
Au1 Au 0.0000 0.0000 0.5000
Au2 Au 0.0000 0.5000 0.7500
# ΔE to the lowest computed polymorph ... 247 meV per atom
# Raw total energy ... -49.448 eV per cell

=====

No. 2
# TcRu2Au, optimized geometry, DFT PBE-GGA
data_TcRu2Au
_space_group_name_H-M_alt 'R 3 m'
_space_group_IT_number 160
_space_group_name_Hall 'R 3 -2"'
_cell_length_a 2.7621
_cell_length_b 2.7621
_cell_length_c 27.4639
_cell_angle_alpha 90.00
_cell_angle_beta 90.00
_cell_angle_gamma 120.00
loop_
_atom_site_label
_atom_site_type_symbol
_atom_site_fract_x
_atom_site_fract_y
_atom_site_fract_z
Tc1 Tc 0.0000 0.0000 0.0000
Ru1 Ru 0.0000 0.0000 0.4879
Ru2 Ru 0.0000 0.0000 0.7433
Au1 Au 0.0000 0.0000 0.2435
# ΔE to the lowest computed polymorph ... 71 meV per atom
# Raw total energy ... -93.871 eV per cell